a | Density functional theory data (PBE-GGA) for Ta2MnTl after structural relaxation.

Lattice parameters (Å, degrees): 3.1086 3.1086 26.0215 90.00 90.00 120.00
With the nearest neighbours (Å) after each atom.
Space group R-3m (No. 166, hexagonal axes)
Asymmetric unit:
Ta 0.0000 0.0000 0.2356  3 Mn 2.54
Mn 0.0000 0.0000 0.5000  6 Ta 2.54
Tl 0.0000 0.0000 0.0000  6 Tl 3.11, 6 Ta 3.11

N(E_F) (states/eV/f.u.): 3.39
ρ (g/cm3): 14.21

b | Density functional theory data (PBE-GGA) for Ta2MnTl after structural relaxation.

Lattice parameters (Å, degrees): 3.9941 3.9941 4.4918 90.00 90.00 90.00
With the nearest neighbours (Å) after each atom.
Space group P4/mmm (No. 123)
Asymmetric unit:
Ta 0.0000 0.5000 0.0000  4 Ta 2.82, 4 Tl 3.01, 4 Mn 3.01
Mn 0.0000 0.0000 0.5000  4 Tl 2.82, 8 Ta 3.01
Tl 0.5000 0.5000 0.5000  4 Mn 2.82, 8 Ta 3.01

N(E_F) (states/eV/f.u.): 4.06
ρ (g/cm3): 14.40

c | Density functional theory data (PBE-GGA) for Ta2MnTl after structural relaxation.

Lattice parameters (Å, degrees): 3.0098 4.3789 5.6570 90.00 101.81 90.00
With the nearest neighbours (Å) after each atom.
Space group Pm (No. 6)
Asymmetric unit:
Ta 0.0000 0.0000 0.0000  1 Mn 2.34
Ta 0.3207 0.5000 0.7540  2 Mn 2.58, 2 Ta 2.87
Mn 0.6105 0.0000 0.5974  3 Ta 2.34-2.58
Tl 0.6225 0.5000 0.2843  2 Mn 2.82, 7 Ta 2.95-3.11, 2 Tl 3.01

N(E_F) (states/eV/f.u.): 2.76
ρ (g/cm3): 14.13

d | Density functional theory data (PBE-GGA) for Ta2MnTl after structural relaxation.

Lattice parameters (Å, degrees): 3.9181 3.9181 19.7124 90.00 90.00 90.00
With the nearest neighbours (Å) after each atom.
Space group I-42d (No. 122)
Asymmetric unit:
Ta 0.2417 0.2500 0.1250  4 Ta 2.72-2.82, 2 Mn 2.82, 2 Tl 2.84
Mn 0.0000 0.0000 0.0000  4 Tl 2.77, 4 Ta 2.82
Tl 0.0000 0.0000 0.5000  4 Mn 2.77, 4 Ta 2.84

N(E_F) (states/eV/f.u.): 7.35
ρ (g/cm3): 13.64

Stability order, top to bottom: b, c, a, d